Entry from Alexandria via LeMat-Bulk: Cs2U3PbS8 after structural relaxation (GGA-PBE).

Calculated values
* formation energy from raw total energies: -1.2368 eV per atom
* space group: R3m (160)
* VASP energy: -6.40 eV/atom
* spin magnetization: 6.00 μB per cell

Structure (CIF):
```
data_Cs2U3PbS8
_space_group_name_H-M_alt 'P 1'
_space_group_IT_number 1
_cell_length_a 9.6759
_cell_length_b 9.6759
_cell_length_c 9.6759
_cell_angle_alpha 49.85
_cell_angle_beta 49.85
_cell_angle_gamma 49.85
loop_
_space_group_symop_operation_xyz
'x,y,z'
loop_
_atom_site_label
_atom_site_type_symbol
_atom_site_fract_x
_atom_site_fract_y
_atom_site_fract_z
Cs1 Cs 0.0000 0.0000 0.0000
Cs2 Cs 0.3583 0.3583 0.3583
U1 U 0.3593 0.3593 0.8649
U2 U 0.3593 0.8649 0.3593
U3 U 0.8649 0.3593 0.3593
Pb1 Pb 0.7586 0.7586 0.7586
S1 S 0.0978 0.0978 0.5521
S2 S 0.0978 0.5521 0.0978
S3 S 0.1374 0.1374 0.1374
S4 S 0.1526 0.6265 0.6265
S5 S 0.5521 0.0978 0.0978
S6 S 0.5813 0.5813 0.5813
S7 S 0.6265 0.1526 0.6265
S8 S 0.6265 0.6265 0.1526
```